# BaGaTe2Os

A relaxed structure of BaGaTe2Os (PBE, Alexandria via LeMat-Bulk).

```
BaGaTe2Os
1.0
5.561 0.000 0.000
0.000 5.561 0.000
0.000 0.000 4.727
Ba Ga Te Os
1 1 2 1
Direct
0.000 0.000 0.000 Ba
0.500 0.500 0.500 Ga
0.000 0.500 0.500 Te
0.500 0.000 0.500 Te
0.500 0.500 0.000 Os
```

Computed properties:
VASP energy: -4.262 eV/atom
E_form (uncorrected): 0.2307 eV per atom
D(E_F): 0.86 states/eV/atom